1.
VASP calculation (PBE-GGA) on ZnBIr after structural relaxation.

Unit cell a=3.649 b=3.532 c=3.532 alpha=120.00 beta=90.00 gamma=90.00
Positions (direct):
Zn1 0.000 0.000 0.000
Ir1 0.500 0.333 0.667
B1 0.499 0.667 0.333

Symmetry: P-6m2, No. 187
Energy relative to the elements in kcal/mol of atoms: -1.97

***

2.
VASP calculation (PBE-GGA) on ZnBIr after structural relaxation.

Unit cell a=2.652 b=2.652 c=6.212 alpha=102.33 beta=102.33 gamma=90.00
Positions (direct):
Zn1 0.156 0.156 0.312
Ir1 0.929 0.929 0.858
B1 0.765 0.765 0.530

Symmetry: I4mm, No. 107
Energy relative to the elements in kcal/mol of atoms: 19.15

***

Q: Which value of energy relative to the elements does entry 1 give?
A: -1.97 kcal/mol of atoms

***

Q: The highest energy relative to the elements belongs to which entry?
A: number 2

***

Q: energy relative to the elements of number 1 (ZnBIr)?
A: -1.97 kcal/mol of atoms

***

Q: Among the records above, which one has the highest energy relative to the elements?
A: number 2